No. 1
First-principles (PBE-GGA) data for crystalline Gd2CdPt at its relaxed geometry, as listed in Alexandria via LeMat-Bulk.

Properties
- DOS at the Fermi energy: 3.449 states/eV/cell

a b c (Å): 3.6127 3.6127 7.4870
angles (deg): 90.00 90.00 90.00
Fractional coordinates of all 4 atoms:
Gd: 0.0000 0.0000 0.2231
Gd: 0.0000 0.0000 0.7769
Cd: 0.5000 0.5000 0.5000
Pt: 0.5000 0.5000 0.0000

No. 2
First-principles (PBE-GGA) data for crystalline Gd2CdPt at its relaxed geometry, as listed in Alexandria via LeMat-Bulk.

Properties
- DOS at the Fermi energy: 4.224 states/eV/cell

a b c (Å): 8.3304 8.3304 8.3304
angles (deg): 28.03 28.03 28.03
Fractional coordinates of all 4 atoms:
Gd: 0.2344 0.2344 0.2344
Gd: 0.7656 0.7656 0.7656
Cd: 0.0000 0.0000 0.0000
Pt: 0.5000 0.5000 0.5000

No. 3
First-principles (PBE-GGA) data for crystalline Gd2CdPt at its relaxed geometry, as listed in Alexandria via LeMat-Bulk.

Properties
- DOS at the Fermi energy: 3.158 states/eV/cell

a b c (Å): 5.1461 5.1461 5.1461
angles (deg): 60.00 60.00 60.00
Fractional coordinates of all 4 atoms:
Gd: 0.2500 0.2500 0.2500
Gd: 0.7500 0.7500 0.7500
Cd: 0.0000 0.0000 0.0000
Pt: 0.5000 0.5000 0.5000

No. 4
First-principles (PBE-GGA) data for crystalline GdCdPtRh at its relaxed geometry, as listed in Alexandria via LeMat-Bulk.

Properties
- DOS at the Fermi energy: 2.836 states/eV/cell

a b c (Å): 4.7704 4.7704 4.7704
angles (deg): 60.00 60.00 60.00
Fractional coordinates of all 4 atoms:
Gd: 0.0000 0.0000 0.0000
Cd: 0.5000 0.5000 0.5000
Pt: 0.7500 0.7500 0.7500
Rh: 0.2500 0.2500 0.2500

Number 1: ΔE_f -0.76 eV/atom. Number 2: ΔE_f -0.66 eV/atom. Number 3: ΔE_f -0.70 eV/atom. Number 4: ΔE_f -0.66 eV/atom.